Below is a relaxed structure of Be2AlH6, with properties calculated at the GGA-PBE level.

Results
**Calculated density**: 1.50 g cm⁻³
**D(E_F)**: 0.201 states/eV/atom
**Energy above the lowest structure with this stoichiometry**: 0.542 eV per atom

Lattice parameters (Å, degrees): 4.3123 4.3123 4.3123 60.00 60.00 60.00
With the nearest neighbours (Å) after each atom.
Fractional coordinates of all 9 atoms:
1 Be 0.2500 0.2500 0.2500  12 H 2.16
2 Be 0.7500 0.7500 0.7500  12 H 2.16
3 Al 0.0000 0.0000 0.0000  6 H 1.69
4 H 0.2769 0.2769 0.7231  1 Al 1.69
5 H 0.2769 0.7231 0.2769  1 Al 1.69
6 H 0.2769 0.7231 0.7231  1 Al 1.69
7 H 0.7231 0.2769 0.2769  1 Al 1.69
8 H 0.7231 0.2769 0.7231  1 Al 1.69
9 H 0.7231 0.7231 0.2769  1 Al 1.69